# 1
# Mg2InRh

A relaxed structure of Mg2InRh (PBE, the Alexandria database).

Symmetry = P4/mmm
Energy of formation from the pure elements = -0.364 eV/atom
Fermi-level density of states = 1.556 states/eV/f.u.
Total DFT energy (no corrections) = -14.735 eV/f.u.

Unit cell a=3.1982 b=3.1982 c=7.4239 alpha=90.00 beta=90.00 gamma=90.00
Fractional coordinates of all 4 atoms:
Mg  0.0000  0.0000  0.4467
Rh  0.5000  0.5000  0.2500
In  0.5000  0.5000  0.7500
Mg  0.0000  0.0000  0.0533

---

# 2
# CeEu2Dy

A relaxed structure of CeEu2Dy (PBE, the Alexandria database).

Symmetry = R-3m
Relative energy among the computed polymorphs = 0.000 eV per formula unit
Energy of formation from the pure elements = 0.174 eV/atom
Fermi-level density of states = 9.106 states/eV/f.u.
Total DFT energy (no corrections) = -30.387 eV/f.u.

Unit cell a=3.6282 b=3.6282 c=12.4009 alpha=81.59 beta=81.59 gamma=60.00
Each line ends with the local moment (μB).
Fractional coordinates of all 4 atoms:
Ce  0.0000  0.0000  0.0000  -0.84
Dy  0.5000  0.5000  0.5000  0.19
Eu  0.2496  0.2496  0.2513  6.95
Eu  0.7504  0.7504  0.7487  6.95

---

# 3
# RbPaAgTe4

A relaxed structure of RbPaAgTe4 (PBE, the Alexandria database).

Symmetry = P2_1/m
Fermi-level density of states = 2.039 states/eV/f.u.
Total DFT energy (no corrections) = -30.725 eV/f.u.

Unit cell a=7.8113 b=6.2950 c=10.5114 alpha=90.00 beta=110.27 gamma=90.00
Each line ends with the local moment (μB).
Fractional coordinates of all 14 atoms:
Pa  0.7245  0.7500  0.4428  0.36
Te  0.5267  0.2500  0.8462  -0.02
Te  0.0323  0.9909  0.6920  -0.01
Rb  0.7709  0.7500  0.9471  0.00
Pa  0.2755  0.2500  0.5572  0.36
Te  0.4733  0.7500  0.1538  -0.02
Te  0.9677  0.4909  0.3080  -0.01
Ag  0.2656  0.7500  0.3113  0.00
Te  0.9677  0.0091  0.3080  -0.01
Ag  0.7344  0.2500  0.6887  0.00
Te  0.5617  0.2500  0.4101  -0.02
Te  0.0323  0.5091  0.6920  -0.01
Te  0.4383  0.7500  0.5899  -0.02
Rb  0.2291  0.2500  0.0529  0.00

---

# 4
# Li12La2Mg5

A relaxed structure of Li12La2Mg5 (PBE, the Alexandria database).

Symmetry = R-3m
Energy of formation from the pure elements = 0.031 eV/atom
Fermi-level density of states = 14.921 states/eV/f.u.
Total DFT energy (no corrections) = -40.207 eV/f.u.

Unit cell a=7.6545 b=7.6545 c=7.6545 alpha=83.26 beta=83.26 gamma=83.26
Fractional coordinates of all 19 atoms:
Li  0.2925  0.7075  0.0000
Li  0.1447  0.6457  0.6457
Li  0.6457  0.6457  0.1447
Li  0.0000  0.7075  0.2925
Mg  0.0000  0.0000  0.5000
Mg  0.0000  0.5000  0.0000
Mg  0.5000  0.0000  0.0000
La  0.6580  0.6580  0.6580
Li  0.8553  0.3543  0.3543
Li  0.3543  0.8553  0.3543
Mg  0.8957  0.8957  0.8957
Li  0.7075  0.0000  0.2925
Li  0.7075  0.2925  0.0000
Mg  0.1043  0.1043  0.1043
Li  0.0000  0.2925  0.7075
Li  0.3543  0.3543  0.8553
Li  0.6457  0.1447  0.6457
Li  0.2925  0.0000  0.7075
La  0.3420  0.3420  0.3420

---

# 5
# Hg3OsAu

A relaxed structure of Hg3OsAu (PBE, the Alexandria database).

Symmetry = Pm-3m
Relative energy among the computed polymorphs = 0.000 eV per formula unit
Energy of formation from the pure elements = 1.025 eV/atom
Fermi-level density of states = 5.124 states/eV/f.u.
Total DFT energy (no corrections) = -10.288 eV/f.u.

Unit cell a=5.2428 b=5.2428 c=5.2428 alpha=90.00 beta=90.00 gamma=90.00
Each line ends with the local moment (μB).
Fractional coordinates of all 5 atoms:
Os  0.0000  0.0000  0.0000  1.16
Hg  0.0000  0.0000  0.5000  0.04
Hg  0.5000  0.0000  0.0000  0.00
Au  0.5000  0.5000  0.5000  0.11
Hg  0.0000  0.5000  0.0000  0.03

---

# 6
# PrGd2Tm

A relaxed structure of PrGd2Tm (PBE, the Alexandria database).

Symmetry = P4/mmm
Relative energy among the computed polymorphs = 0.000 eV per formula unit
Energy of formation from the pure elements = 0.021 eV/atom
Fermi-level density of states = 6.873 states/eV/f.u.
Total DFT energy (no corrections) = -37.328 eV/f.u.

Unit cell a=5.0984 b=5.0631 c=5.0631 alpha=90.00 beta=90.00 gamma=90.00
Each line ends with the local moment (μB).
Fractional coordinates of all 4 atoms:
Pr  0.5000  0.5000  0.5000  -0.06
Gd  0.0000  0.0000  0.5000  7.15
Tm  0.5000  0.0000  0.0000  0.00
Gd  0.0000  0.5000  0.0000  7.15

---

# 7
# DyAlZn2Pt

A relaxed structure of DyAlZn2Pt (PBE, the Alexandria database).

Symmetry = Imm2
Energy of formation from the pure elements = -0.666 eV/atom
Fermi-level density of states = 1.954 states/eV/f.u.
Total DFT energy (no corrections) = -20.261 eV/f.u.

Unit cell a=3.7037 b=4.2086 c=6.5515 alpha=108.74 beta=106.42 gamma=90.00
Fractional coordinates of all 5 atoms:
Al  0.1880  0.6880  0.3760
Pt  0.8356  0.8356  0.6713
Zn  0.0514  0.0514  0.1028
Zn  0.7010  0.2010  0.4020
Dy  0.4361  0.4361  0.8722

---

# 8
# Cs2LaTbO4

A relaxed structure of Cs2LaTbO4 (PBE, the Alexandria database).

Symmetry = Imma
Fermi-level density of states = 0.000 states/eV/f.u.
Total DFT energy (no corrections) = -50.929 eV/f.u.

Unit cell a=7.6510 b=7.6510 c=7.7867 alpha=120.59 beta=120.59 gamma=90.01
Fractional coordinates of all 16 atoms:
Cs  0.5000  0.0000  0.5000
O  0.2349  0.6717  0.4533
La  0.0000  0.5000  0.0000
Cs  0.5000  0.0000  0.0000
Cs  0.5000  0.5000  0.0000
Tb  0.5000  0.5000  0.5000
O  0.2295  0.2706  0.4429
Tb  0.0000  0.0000  0.0000
O  0.8283  0.2651  0.0467
La  0.0000  0.5000  0.5000
Cs  0.0000  0.0000  0.5000
O  0.7705  0.7295  0.9429
O  0.1717  0.7349  0.9533
O  0.7705  0.7295  0.5571
O  0.2294  0.2705  0.0571
O  0.7651  0.3283  0.5467

---

# 9
# Y8Er6Tl

A relaxed structure of Y8Er6Tl (PBE, the Alexandria database).

Symmetry = P-3
Energy of formation from the pure elements = 0.220 eV/atom
Fermi-level density of states = 20.995 states/eV/f.u.
Total DFT energy (no corrections) = -78.163 eV/f.u.

Unit cell a=6.7683 b=9.1339 c=9.1339 alpha=120.00 beta=90.00 gamma=90.00
Fractional coordinates of all 15 atoms:
Er  0.3947  0.3205  0.9262
Er  0.6053  0.6795  0.0738
Er  0.6053  0.3943  0.3205
Tl  0.5000  0.0000  0.0000
Y  0.8834  0.3271  0.0154
Y  0.8022  0.3333  0.6667
Y  0.1166  0.6729  0.9846
Y  0.8834  0.6883  0.6729
Er  0.3947  0.6057  0.6795
Y  0.1166  0.3117  0.3271
Y  0.1978  0.6667  0.3333
Y  0.8834  0.9846  0.3117
Er  0.6053  0.9262  0.6057
Y  0.1166  0.0154  0.6883
Er  0.3947  0.0738  0.3943

---

# 10
# V2ReW6

A relaxed structure of V2ReW6 (PBE, the Alexandria database).

Symmetry = P-1
Relative energy among the computed polymorphs = 3.680 eV per formula unit
Energy of formation from the pure elements = 0.463 eV/atom
Fermi-level density of states = 7.983 states/eV/f.u.
Total DFT energy (no corrections) = -104.236 eV/f.u.

Unit cell a=4.5321 b=5.4120 c=9.1853 alpha=135.14 beta=104.31 gamma=90.04
Fractional coordinates of all 9 atoms:
W  0.6993  0.5381  0.3993
W  0.2926  0.9346  0.5852
V  0.9013  0.3286  0.8029
W  0.3007  0.4619  0.6007
Re  0.0000  0.0000  0.0000
W  0.5034  0.7510  0.0068
W  0.4966  0.2490  0.9932
V  0.0987  0.6714  0.1971
W  0.7074  0.0654  0.4148

---

# 11
# SrHoMg2In4

A relaxed structure of SrHoMg2In4 (PBE, the Alexandria database).

Symmetry = R-3m
Energy of formation from the pure elements = -0.277 eV/atom
Fermi-level density of states = 3.345 states/eV/f.u.
Total DFT energy (no corrections) = -22.615 eV/f.u.

Unit cell a=5.2589 b=5.2589 c=9.3049 alpha=73.59 beta=73.59 gamma=60.00
Fractional coordinates of all 8 atoms:
Mg  0.2485  0.2485  0.2545
Ho  0.5000  0.5000  0.5000
In  0.8730  0.8730  0.3811
In  0.6198  0.6198  0.1406
Mg  0.7515  0.7515  0.7455
In  0.1270  0.1270  0.6189
In  0.3802  0.3802  0.8594
Sr  0.0000  0.0000  0.0000

---

# 12
# AcCe2Ge

A relaxed structure of AcCe2Ge (PBE, the Alexandria database).

Symmetry = R3m
Relative energy among the computed polymorphs = 0.548 eV per formula unit
Energy of formation from the pure elements = -0.183 eV/atom
Fermi-level density of states = 9.162 states/eV/f.u.
Total DFT energy (no corrections) = -21.324 eV/f.u.

Unit cell a=4.0130 b=4.0130 c=9.8321 alpha=78.22 beta=78.22 gamma=60.00
Each line ends with the local moment (μB).
Fractional coordinates of all 4 atoms:
Ce  0.0618  0.0618  0.8146  0.65
Ac  0.5011  0.5011  0.4968  0.00
Ge  0.6662  0.6662  0.0015  -0.03
Ce  0.2710  0.2710  0.1871  0.46

---

> Among the records above, which one has the lowest Fermi-level density of states?

Cs2LaTbO4